1.
PrInPt: relaxed, GGA-PBEsol.

Results
Energy relative to the elements = -0.94 eV per atom
Energy = -5.988 eV/atom
D(E_F) = 6.5 states/eV per cell

Geometry as CIF:
```
data_PrInPt
_cell_length_a 7.6769
_cell_length_b 7.6769
_cell_length_c 3.9908
_cell_angle_alpha 90.00
_cell_angle_beta 90.00
_cell_angle_gamma 120.00
_space_group_name_H-M_alt 'P -6 2 m'
_space_group_IT_number 189
_space_group_name_Hall 'P -6 -2'
loop_
_atom_site_label
_atom_site_fract_x
_atom_site_fract_y
_atom_site_fract_z
Pr1 0.0000 0.4101 0.0000
In1 0.0000 0.7468 0.5000
Pt1 0.0000 0.0000 0.0000
Pt2 0.3333 0.6667 0.5000
```

2.
LaMg2In: relaxed, GGA-PBEsol.

Results
Energy relative to the elements = -0.22 eV per atom
Energy = -3.165 eV/atom
D(E_F) = 2.0 states/eV per cell

Geometry as CIF:
```
data_LaMg2In
_cell_length_a 3.259
_cell_length_b 4.856
_cell_length_c 6.789
_cell_angle_alpha 90.00
_cell_angle_beta 103.88
_cell_angle_gamma 90.00
_space_group_name_H-M_alt 'P 1 m 1'
_space_group_IT_number 6
_space_group_name_Hall 'P -2y'
loop_
_atom_site_label
_atom_site_fract_x
_atom_site_fract_y
_atom_site_fract_z
La1 0.000 0.000 0.000
Mg1 0.258 0.000 0.511
Mg2 0.662 0.500 0.321
In1 0.382 0.500 0.764
```

3.
SrCa3Ge: relaxed, GGA-PBEsol.

Results
Energy relative to the elements = -0.23 eV per atom
Energy = -2.864 eV/atom
D(E_F) = 4.7 states/eV per cell

Geometry as CIF:
```
data_SrCa3Ge
_cell_length_a 5.799
_cell_length_b 5.799
_cell_length_c 5.799
_cell_angle_alpha 90.00
_cell_angle_beta 90.00
_cell_angle_gamma 90.00
_space_group_name_H-M_alt 'P m -3 m'
_space_group_IT_number 221
_space_group_name_Hall '-P 4 2 3'
loop_
_atom_site_label
_atom_site_fract_x
_atom_site_fract_y
_atom_site_fract_z
Sr1 0.000 0.000 0.000
Ca1 0.000 0.500 0.500
Ge1 0.500 0.500 0.500
```

4.
Ba2TlH2: relaxed, GGA-PBEsol.

Results
E above lowest polymorph = 0.175 eV/atom
Energy = -2.940 eV/atom
D(E_F) = 5.9 states/eV per cell

Geometry as CIF:
```
data_Ba2TlH2
_cell_length_a 8.137
_cell_length_b 8.137
_cell_length_c 3.567
_cell_angle_alpha 90.00
_cell_angle_beta 90.00
_cell_angle_gamma 90.00
_space_group_name_H-M_alt 'P 4/m b m'
_space_group_IT_number 127
_space_group_name_Hall '-P 4 2ab'
loop_
_atom_site_label
_atom_site_fract_x
_atom_site_fract_y
_atom_site_fract_z
Ba1 0.173 0.327 0.000
Tl1 0.000 0.000 0.500
H1 0.119 0.619 0.500
```

5.
NaCoF3: relaxed, GGA-PBEsol.

Results
Energy relative to the elements, uncorrected = -2.0827 eV per atom
Energy = -5.067 eV/atom
D(E_F) = 22.8 states/eV per cell

Geometry as CIF:
```
data_NaCoF3
_cell_length_a 2.958
_cell_length_b 10.180
_cell_length_c 7.363
_cell_angle_alpha 90.00
_cell_angle_beta 90.00
_cell_angle_gamma 90.00
_space_group_name_H-M_alt 'C m c m'
_space_group_IT_number 63
_space_group_name_Hall '-C 2c 2'
loop_
_atom_site_label
_atom_site_fract_x
_atom_site_fract_y
_atom_site_fract_z
Na1 0.000 0.246 0.250
Co1 0.000 0.500 0.000
F1 0.000 0.132 0.559
F2 0.000 0.426 0.750
```

6.
Mn2InAu: relaxed, GGA-PBEsol.

Results
Energy relative to the elements = 0.16 eV per atom
Energy = -6.448 eV/atom
D(E_F) = 7.2 states/eV per cell

Geometry as CIF:
```
data_Mn2InAu
_cell_length_a 4.032
_cell_length_b 4.032
_cell_length_c 7.771
_cell_angle_alpha 90.00
_cell_angle_beta 90.00
_cell_angle_gamma 90.00
_space_group_name_H-M_alt 'I 4/m m m'
_space_group_IT_number 139
_space_group_name_Hall '-I 4 2'
loop_
_atom_site_label
_atom_site_fract_x
_atom_site_fract_y
_atom_site_fract_z
Mn1 0.000 0.500 0.250
In1 0.000 0.000 0.000
Au1 0.000 0.000 0.500
```

7.
BeInTc2: relaxed, GGA-PBEsol.

Results
E above lowest polymorph = 0.000 eV/atom
Energy relative to the elements = 0.24 eV per atom
Energy = -7.140 eV/atom
D(E_F) = 7.6 states/eV per cell

Geometry as CIF:
```
data_BeInTc2
_cell_length_a 6.091
_cell_length_b 6.091
_cell_length_c 6.091
_cell_angle_alpha 90.00
_cell_angle_beta 90.00
_cell_angle_gamma 90.00
_space_group_name_H-M_alt 'F -4 3 m'
_space_group_IT_number 216
_space_group_name_Hall 'F -4 2 3'
loop_
_atom_site_label
_atom_site_fract_x
_atom_site_fract_y
_atom_site_fract_z
Be1 0.000 0.000 0.000
In1 0.250 0.250 0.250
Tc1 0.000 0.000 0.500
Tc2 0.250 0.250 0.750
```

8.
Ba2La2O5: relaxed, GGA-PBEsol.

Results
Energy relative to the elements, uncorrected = -2.9701 eV per atom
Energy = -7.552 eV/atom
D(E_F) = 0.0 states/eV per cell

Geometry as CIF:
```
data_Ba2La2O5
_cell_length_a 6.533
_cell_length_b 17.127
_cell_length_c 6.547
_cell_angle_alpha 90.00
_cell_angle_beta 90.00
_cell_angle_gamma 90.00
_space_group_name_H-M_alt 'P n m a'
_space_group_IT_number 62
_space_group_name_Hall '-P 2ac 2n'
loop_
_atom_site_label
_atom_site_fract_x
_atom_site_fract_y
_atom_site_fract_z
Ba1 0.043 0.111 0.015
La1 0.000 0.000 0.500
La2 0.058 0.250 0.547
O1 0.050 0.639 0.598
O2 0.093 0.750 0.136
O3 0.207 0.525 0.208
```

9.
LaTc2TeS: relaxed, GGA-PBEsol.

Results
Energy relative to the elements, uncorrected = 1.6072 eV per atom
Energy = -5.551 eV/atom
D(E_F) = 5.5 states/eV per cell

Geometry as CIF:
```
data_LaTc2TeS
_cell_length_a 4.845
_cell_length_b 4.845
_cell_length_c 5.311
_cell_angle_alpha 90.00
_cell_angle_beta 90.00
_cell_angle_gamma 90.00
_space_group_name_H-M_alt 'P 4/m m m'
_space_group_IT_number 123
_space_group_name_Hall '-P 4 2'
loop_
_atom_site_label
_atom_site_fract_x
_atom_site_fract_y
_atom_site_fract_z
La1 0.000 0.000 0.000
Tc1 0.000 0.500 0.000
Te1 0.500 0.500 0.500
S1 0.000 0.000 0.500
```

10.
ZrS3Br: relaxed, GGA-PBEsol.

Results
Energy relative to the elements, uncorrected = 0.5802 eV per atom
Energy = -4.242 eV/atom
D(E_F) = 3.6 states/eV per cell

Geometry as CIF:
```
data_ZrS3Br
_cell_length_a 4.694
_cell_length_b 4.694
_cell_length_c 4.694
_cell_angle_alpha 90.00
_cell_angle_beta 90.00
_cell_angle_gamma 90.00
_space_group_name_H-M_alt 'P m -3 m'
_space_group_IT_number 221
_space_group_name_Hall '-P 4 2 3'
loop_
_atom_site_label
_atom_site_fract_x
_atom_site_fract_y
_atom_site_fract_z
Zr1 0.000 0.000 0.000
S1 0.000 0.500 0.500
Br1 0.500 0.500 0.500
```

11.
MnZnSeBr2: relaxed, GGA-PBEsol.

Results
Energy relative to the elements, uncorrected = 0.1877 eV per atom
Energy = -3.599 eV/atom
D(E_F) = 1.7 states/eV per cell

Geometry as CIF:
```
data_MnZnSeBr2
_cell_length_a 4.905
_cell_length_b 4.905
_cell_length_c 5.107
_cell_angle_alpha 90.00
_cell_angle_beta 90.00
_cell_angle_gamma 90.00
_space_group_name_H-M_alt 'P 4/m m m'
_space_group_IT_number 123
_space_group_name_Hall '-P 4 2'
loop_
_atom_site_label
_atom_site_fract_x
_atom_site_fract_y
_atom_site_fract_z
Mn1 0.000 0.000 0.000
Zn1 0.500 0.500 0.500
Se1 0.500 0.500 0.000
Br1 0.000 0.500 0.500
```

12.
P2PdRhC: relaxed, GGA-PBEsol.

Results
Energy relative to the elements = 0.65 eV per atom
Energy = -6.413 eV/atom
D(E_F) = 2.5 states/eV per cell

Geometry as CIF:
```
data_P2PdRhC
_cell_length_a 4.035
_cell_length_b 4.035
_cell_length_c 3.938
_cell_angle_alpha 90.00
_cell_angle_beta 90.00
_cell_angle_gamma 90.00
_space_group_name_H-M_alt 'P 4/m m m'
_space_group_IT_number 123
_space_group_name_Hall '-P 4 2'
loop_
_atom_site_label
_atom_site_fract_x
_atom_site_fract_y
_atom_site_fract_z
P1 0.000 0.500 0.000
Pd1 0.000 0.000 0.500
Rh1 0.500 0.500 0.500
C1 0.500 0.500 0.000
```